Below is a relaxed structure of LaCrSb2, with properties calculated at the PBEsol level.

The structure in POSCAR format:
```
LaCrSb2
1.0
-0.9726 -1.0738 3.0208
3.2057 -0.3657 0.9021
0.0939 7.2928 2.6225
Sb La Cr
2 1 1
Cartesian
0.0753 5.8522 2.1045
0.0185 1.4406 0.5181
1.1635 2.9267 3.2727
1.1165 -0.7197 1.9615
```

DFT total energy = -25.32 eV for the cell shown
E_form (uncorrected) = -0.155 eV/atom

=====

Below is a relaxed structure of LaCr2Sb, with properties calculated at the PBEsol level.

The structure in POSCAR format:
```
LaCr2Sb
1.0
4.2626 0.0000 0.0000
-2.1313 5.1596 -0.5043
0.0000 2.1221 3.6968
Cr La Sb
2 1 1
Cartesian
0.0000 0.0000 0.0000
0.0000 3.1103 0.6721
2.1313 1.0610 1.8484
2.1313 4.1713 2.5205
```

DFT total energy = -28.72 eV for the cell shown
E_form (uncorrected) = 0.417 eV/atom

=====

Below is a relaxed structure of LaCrSi2, with properties calculated at the PBEsol level.

The structure in POSCAR format:
```
LaCrSi2
1.0
-1.1116 2.1990 -1.8864
-2.8813 -0.6277 0.9661
0.6693 4.6331 5.0063
Si La Cr
2 1 1
Cartesian
0.5509 3.8133 4.1205
0.1184 0.8198 0.8859
-1.6618 3.1022 2.0430
-1.9964 0.7856 -0.4602
```

DFT total energy = -28.25 eV for the cell shown
E_form (uncorrected) = -0.293 eV/atom

=====

Below is a relaxed structure of LaCr2Si, with properties calculated at the PBEsol level.

The structure in POSCAR format:
```
LaCr2Si
1.0
-2.6068 -1.6480 -0.5714
-0.1958 -0.9732 3.6998
-2.6169 5.5228 1.3143
Si Cr La
1 2 1
Cartesian
-2.4834 3.7825 2.8466
-2.2017 -1.0643 1.5866
-0.5774 0.0185 -0.0257
-2.7689 2.1024 0.4065
```

DFT total energy = -31.02 eV for the cell shown
E_form (uncorrected) = 0.139 eV/atom

=====

Below is a relaxed structure of LaCr2Si, with properties calculated at the PBEsol level.

The structure in POSCAR format:
```
LaCr2Si
1.0
-1.0652 -3.6946 2.7841
3.0806 -1.4428 3.3112
-0.9601 0.6914 4.5974
Si La Cr
1 1 2
Cartesian
0.2638 -1.1115 2.6732
0.5276 -2.2230 5.3464
0.0000 0.0000 0.0000
0.7915 -3.3345 8.0196
```

DFT total energy = -30.07 eV for the cell shown
E_form (uncorrected) = 0.378 eV/atom

=====

Below is a relaxed structure of SrLa2Cr, with properties calculated at the PBEsol level.

The structure in POSCAR format:
```
SrLa2Cr
1.0
3.7491 0.0000 0.0000
0.0000 3.7491 0.0000
0.0000 0.0000 9.1760
La Cr Sr
2 1 1
Cartesian
0.0000 0.0000 8.7503
1.8745 1.8745 1.9816
1.8745 1.8745 7.1702
0.0000 0.0000 5.0380
```

DFT total energy = -20.99 eV for the cell shown
DFT formation energy = 447 meV/atom
E above lowest polymorph = 0.00 kJ per mole of atoms

=====

Copy entry 4 word for word.
Below is a relaxed structure of LaCr2Si, with properties calculated at the PBEsol level.

The structure in POSCAR format:
```
LaCr2Si
1.0
-2.6068 -1.6480 -0.5714
-0.1958 -0.9732 3.6998
-2.6169 5.5228 1.3143
Si Cr La
1 2 1
Cartesian
-2.4834 3.7825 2.8466
-2.2017 -1.0643 1.5866
-0.5774 0.0185 -0.0257
-2.7689 2.1024 0.4065
```

DFT total energy = -31.02 eV for the cell shown
E_form (uncorrected) = 0.139 eV/atom

=====

Look up the DFT total energy of the fifth one. -30.07 eV for the cell shown

=====

Copy entry 2 word for word.
Below is a relaxed structure of LaCr2Sb, with properties calculated at the PBEsol level.

The structure in POSCAR format:
```
LaCr2Sb
1.0
4.2626 0.0000 0.0000
-2.1313 5.1596 -0.5043
0.0000 2.1221 3.6968
Cr La Sb
2 1 1
Cartesian
0.0000 0.0000 0.0000
0.0000 3.1103 0.6721
2.1313 1.0610 1.8484
2.1313 4.1713 2.5205
```

DFT total energy = -28.72 eV for the cell shown
E_form (uncorrected) = 0.417 eV/atom

=====

Repeat the sixth record exactly.
Below is a relaxed structure of SrLa2Cr, with properties calculated at the PBEsol level.

The structure in POSCAR format:
```
SrLa2Cr
1.0
3.7491 0.0000 0.0000
0.0000 3.7491 0.0000
0.0000 0.0000 9.1760
La Cr Sr
2 1 1
Cartesian
0.0000 0.0000 8.7503
1.8745 1.8745 1.9816
1.8745 1.8745 7.1702
0.0000 0.0000 5.0380
```

DFT total energy = -20.99 eV for the cell shown
DFT formation energy = 447 meV/atom
E above lowest polymorph = 0.00 kJ per mole of atoms